(1)
Here is BeP3I after structural relaxation from Alexandria. Energies are from PBE-GGA.

abc: 4.4477 4.4477 4.4477
angles: 90.00 90.00 90.00
Space group Pm-3m (No. 221)
Inequivalent atoms, fractional coordinates:
Be: 0.0000 0.0000 0.0000 [1 per cell]
P: 0.0000 0.0000 0.5000 [3 per cell]
I: 0.5000 0.5000 0.5000 [1 per cell]

Output
Spin magnetization, μB per cell: 0.00
ρ, kg/m3: 4319
E, eV/atom: -3.46
Formation energy from raw total energies, eV/f.u.: 4.2
Excess energy over the best structure of this formula in the dataset, eV per atom: 0.000
DOS at the Fermi energy, states/eV/cell: 4.59

---

(2)
Here is BeP3I after structural relaxation from Alexandria. Energies are from PBE-GGA.

abc: 5.0951 5.0951 5.0951
angles: 90.00 90.00 90.00
Space group Pm-3m (No. 221)
Inequivalent atoms, fractional coordinates:
Be: 0.0000 0.0000 0.0000 [1 per cell]
P: 0.0000 0.5000 0.5000 [3 per cell]
I: 0.5000 0.5000 0.5000 [1 per cell]

Output
Spin magnetization, μB per cell: 0.00
ρ, kg/m3: 2873
E, eV/atom: -2.27
Formation energy from raw total energies, eV/f.u.: 10.2
Excess energy over the best structure of this formula in the dataset, eV per atom: 1.188
DOS at the Fermi energy, states/eV/cell: 4.99

---

(3)
Here is Rb2BePI6 after structural relaxation from Alexandria. Energies are from PBE-GGA.

abc: 7.9916 7.9916 11.2945
angles: 90.00 90.00 90.00
Space group I4/mmm (No. 139)
Inequivalent atoms, fractional coordinates:
Rb: 0.0000 0.5000 0.2500 [4 per cell]
Be: 0.0000 0.0000 0.0000 [2 per cell]
P: 0.0000 0.0000 0.5000 [2 per cell]
I: 0.0000 0.0000 0.2441 [4 per cell]
I: 0.2459 0.2459 0.0000 [8 per cell]

Output
Spin magnetization, μB per cell: 0.00
ρ, kg/m3: 4477
E, eV/atom: -2.56
Formation energy from raw total energies, eV/f.u.: -5.2
DOS at the Fermi energy, states/eV/cell: 6.89

---

(4)
Here is BeP2SI after structural relaxation from Alexandria. Energies are from PBE-GGA.

abc: 4.6855 4.6855 4.1017
angles: 90.00 90.00 90.00
Space group P4/mmm (No. 123)
Inequivalent atoms, fractional coordinates:
Be: 0.0000 0.0000 0.0000 [1 per cell]
P: 0.0000 0.5000 0.0000 [2 per cell]
S: 0.0000 0.0000 0.5000 [1 per cell]
I: 0.5000 0.5000 0.5000 [1 per cell]

Output
Spin magnetization, μB per cell: 0.00
ρ, kg/m3: 4240
E, eV/atom: -3.35
Formation energy from raw total energies, eV/f.u.: 3.5
Excess energy over the best structure of this formula in the dataset, eV per atom: 0.000
DOS at the Fermi energy, states/eV/cell: 4.01

---

(5)
Here is BeP2SI after structural relaxation from Alexandria. Energies are from PBE-GGA.

abc: 5.1952 5.1952 4.9902
angles: 90.00 90.00 90.00
Space group P4/mmm (No. 123)
Inequivalent atoms, fractional coordinates:
Be: 0.0000 0.0000 0.0000 [1 per cell]
P: 0.0000 0.5000 0.5000 [2 per cell]
S: 0.5000 0.5000 0.0000 [1 per cell]
I: 0.5000 0.5000 0.5000 [1 per cell]

Output
Spin magnetization, μB per cell: 1.15
ρ, kg/m3: 2835
E, eV/atom: -2.21
Formation energy from raw total energies, eV/f.u.: 9.2
Excess energy over the best structure of this formula in the dataset, eV per atom: 1.142
DOS at the Fermi energy, states/eV/cell: 4.25

---

(6)
Here is BeSb2PI after structural relaxation from Alexandria. Energies are from PBE-GGA.

abc: 5.0122 5.0122 4.8422
angles: 90.00 90.00 90.00
Space group P4/mmm (No. 123)
Inequivalent atoms, fractional coordinates:
Be: 0.0000 0.0000 0.0000 [1 per cell]
Sb: 0.0000 0.5000 0.0000 [2 per cell]
P: 0.5000 0.5000 0.5000 [1 per cell]
I: 0.0000 0.0000 0.5000 [1 per cell]

Output
Spin magnetization, μB per cell: 0.00
ρ, kg/m3: 5602
E, eV/atom: -3.01
Formation energy from raw total energies, eV/f.u.: 3.9
Excess energy over the best structure of this formula in the dataset, eV per atom: 0.000
DOS at the Fermi energy, states/eV/cell: 3.86

---

(7)
Here is ScBe2PI after structural relaxation from Alexandria. Energies are from PBE-GGA.

abc: 4.5371 4.5371 5.4715
angles: 90.00 90.00 90.00
Space group P4/mmm (No. 123)
Inequivalent atoms, fractional coordinates:
Sc: 0.0000 0.0000 0.0000 [1 per cell]
Be: 0.0000 0.5000 0.5000 [2 per cell]
P: 0.5000 0.5000 0.0000 [1 per cell]
I: 0.0000 0.0000 0.5000 [1 per cell]

Output
Spin magnetization, μB per cell: 0.00
ρ, kg/m3: 3256
E, eV/atom: -2.92
Formation energy from raw total energies, eV/f.u.: 6.1
DOS at the Fermi energy, states/eV/cell: 3.72

---

(8)
Here is BeTe2PI after structural relaxation from Alexandria. Energies are from PBE-GGA.

abc: 5.0117 5.0117 4.9554
angles: 90.00 90.00 90.00
Space group P4/mmm (No. 123)
Inequivalent atoms, fractional coordinates:
Be: 0.0000 0.0000 0.0000 [1 per cell]
Te: 0.0000 0.5000 0.0000 [2 per cell]
P: 0.5000 0.5000 0.5000 [1 per cell]
I: 0.0000 0.0000 0.5000 [1 per cell]

Output
Spin magnetization, μB per cell: 0.00
ρ, kg/m3: 5631
E, eV/atom: -2.67
Formation energy from raw total energies, eV/f.u.: 3.6
Excess energy over the best structure of this formula in the dataset, eV per atom: 0.000
DOS at the Fermi energy, states/eV/cell: 4.33